No. 1
This record from Alexandria via LeMat-Bulk describes crystalline CuTeCl at its relaxed geometry. The functional is PBE.

## Properties
Theoretical density, g cm⁻³: 4.87
V, Å³/cell: 77.2
N(E_F), states/eV per atom: 0.52
Symmetry: Imm2, No. 44
Formation energy from raw total energies, eV per atom: -0.0524

```
3
Lattice="-1.674 1.898 6.071 1.674 -1.898 6.071 1.674 1.898 -6.071" Properties=species:S:1:pos:R:3 pbc="T T T"
Cu 0.000 0.000 0.000
Te 0.000 0.000 7.059
Cl 0.000 0.000 9.934
```

***

No. 2
This record from Alexandria via LeMat-Bulk describes crystalline Ba3CaAg at its relaxed geometry. The functional is PBE.

## Properties
Theoretical density, g cm⁻³: 3.34
V, Å³/cell: 278.6
N(E_F), states/eV per atom: 0.79
Distance to the lowest polymorph of the same formula, eV/atom: 0.0000
Energy relative to the elements, eV per atom: -0.022
Symmetry: Pm-3m, No. 221

```
5
Lattice="6.531 0.000 0.000 0.000 6.531 0.000 0.000 0.000 6.531" Properties=species:S:1:pos:R:3 pbc="T T T"
Ba 0.000 0.000 3.266
Ba 0.000 3.266 0.000
Ba 3.266 0.000 0.000
Ca 3.266 3.266 3.266
Ag 0.000 0.000 0.000
```

***

No. 3
This record from Alexandria via LeMat-Bulk describes crystalline RhAuS2O8 at its relaxed geometry. The functional is PBE.

## Properties
Theoretical density, g cm⁻³: 4.65
V, Å³/cell: 175.7
Symmetry: C2/m, No. 12
Formation energy from raw total energies, eV per atom: -0.8820

```
12
Lattice="4.142 -2.626 0.000 4.142 2.626 0.000 -1.331 0.000 8.079" Properties=species:S:1:pos:R:3 pbc="T T T"
Rh 0.000 0.000 0.000
Au -0.665 0.000 4.040
S 1.635 0.000 6.517
S 5.318 0.000 1.563
O 2.516 1.219 6.602
O 1.082 0.000 5.151
O 0.676 0.000 7.646
O 4.437 1.219 1.477
O 2.516 -1.219 6.602
O 6.276 0.000 0.433
O 5.871 0.000 2.929
O 4.437 -1.219 1.477
```

***

Please write out number 3 again, unchanged.
This record from Alexandria via LeMat-Bulk describes crystalline RhAuS2O8 at its relaxed geometry. The functional is PBE.

## Properties
Theoretical density, g cm⁻³: 4.65
V, Å³/cell: 175.7
Symmetry: C2/m, No. 12
Formation energy from raw total energies, eV per atom: -0.8820

```
12
Lattice="4.142 -2.626 0.000 4.142 2.626 0.000 -1.331 0.000 8.079" Properties=species:S:1:pos:R:3 pbc="T T T"
Rh 0.000 0.000 0.000
Au -0.665 0.000 4.040
S 1.635 0.000 6.517
S 5.318 0.000 1.563
O 2.516 1.219 6.602
O 1.082 0.000 5.151
O 0.676 0.000 7.646
O 4.437 1.219 1.477
O 2.516 -1.219 6.602
O 6.276 0.000 0.433
O 5.871 0.000 2.929
O 4.437 -1.219 1.477
```

***

Number 2 is which compound? Ba3CaAg